No. 1
MnFeSe2 PBE optimized geometry; offset from the most stable computed form = 330.0 kJ/mol of formula units; space-group type = F-43m, No. 216
1.0
6.3964 0.0000 0.0000
0.0000 6.3964 0.0000
0.0000 0.0000 6.3964
Mn Fe Se
4 4 8
Direct
0.0000 0.0000 0.0000 Mn
0.0000 0.5000 0.5000 Mn
0.5000 0.0000 0.5000 Mn
0.5000 0.5000 0.0000 Mn
0.2500 0.2500 0.7500 Fe
0.2500 0.7500 0.2500 Fe
0.7500 0.2500 0.2500 Fe
0.7500 0.7500 0.7500 Fe
0.0000 0.0000 0.5000 Se
0.0000 0.5000 0.0000 Se
0.2500 0.2500 0.2500 Se
0.2500 0.7500 0.7500 Se
0.5000 0.0000 0.0000 Se
0.5000 0.5000 0.5000 Se
0.7500 0.2500 0.7500 Se
0.7500 0.7500 0.2500 Se



No. 2
MnFeSe2 PBE optimized geometry; offset from the most stable computed form = 22.4 kJ/mol of formula units; space-group type = Immm, No. 71
1.0
3.5162 0.0000 0.0000
0.0000 3.5918 0.0000
0.0000 0.0000 13.1893
Mn Fe Se
2 2 4
Direct
0.0000 0.0000 0.0000 Mn
0.5000 0.5000 0.5000 Mn
0.0000 0.0000 0.5000 Fe
0.5000 0.5000 0.0000 Fe
0.0000 0.5000 0.1259 Se
0.0000 0.5000 0.8741 Se
0.5000 0.0000 0.3741 Se
0.5000 0.0000 0.6259 Se



No. 3
MnFeSe2 PBE optimized geometry; offset from the most stable computed form = 166.9 kJ/mol of formula units; space-group type = P4/mmm, No. 123
1.0
4.3868 0.0000 0.0000
0.0000 4.3868 0.0000
0.0000 0.0000 3.1041
Mn Fe Se
1 1 2
Direct
0.0000 0.0000 0.0000 Mn
0.5000 0.5000 0.0000 Fe
0.0000 0.5000 0.5000 Se
0.5000 0.0000 0.5000 Se



No. 4
MnFeSe2 PBE optimized geometry; offset from the most stable computed form = 167.6 kJ/mol of formula units; space-group type = Fm-3m, No. 225
1.0
6.3705 0.0000 0.0000
0.0000 6.3705 0.0000
0.0000 0.0000 6.3705
Mn Fe Se
4 4 8
Direct
0.0000 0.0000 0.0000 Mn
0.0000 0.5000 0.5000 Mn
0.5000 0.0000 0.5000 Mn
0.5000 0.5000 0.0000 Mn
0.0000 0.0000 0.5000 Fe
0.0000 0.5000 0.0000 Fe
0.5000 0.0000 0.0000 Fe
0.5000 0.5000 0.5000 Fe
0.2500 0.2500 0.2500 Se
0.2500 0.2500 0.7500 Se
0.2500 0.7500 0.2500 Se
0.2500 0.7500 0.7500 Se
0.7500 0.2500 0.2500 Se
0.7500 0.2500 0.7500 Se
0.7500 0.7500 0.2500 Se
0.7500 0.7500 0.7500 Se



No. 5
Mn2FeSe3 PBE optimized geometry; space-group type = P-3m1, No. 164
1.0
3.7702 0.0000 0.0000
-1.8851 3.2651 0.0000
0.0000 0.0000 9.1440
Mn Fe Se
2 1 3
Direct
0.3333 0.6667 0.1745 Mn
0.6667 0.3333 0.8255 Mn
0.0000 0.0000 0.5000 Fe
0.0000 0.0000 0.0000 Se
0.3333 0.6667 0.6592 Se
0.6667 0.3333 0.3408 Se



No. 6
MnFeSe2 PBE optimized geometry; offset from the most stable computed form = 168.8 kJ/mol of formula units; space-group type = C2/m, No. 12
1.0
7.1621 0.0000 0.0000
0.0000 7.0007 0.0000
-1.8611 0.0000 3.4415
Mn Fe Se
2 2 4
Direct
0.0000 0.0000 0.0000 Mn
0.5000 0.5000 0.0000 Mn
0.0000 0.5000 0.0000 Fe
0.5000 0.0000 0.0000 Fe
0.2500 0.2500 0.0000 Se
0.2500 0.7500 0.0000 Se
0.7500 0.2500 0.0000 Se
0.7500 0.7500 0.0000 Se



No. 7
MnFeSe2 PBE optimized geometry; offset from the most stable computed form = 258.0 kJ/mol of formula units; space-group type = R-3m, No. 166
1.0
3.1452 0.0000 0.0000
-1.5726 2.7238 0.0000
0.0000 0.0000 22.9252
Mn Fe Se
3 3 6
Direct
0.0000 0.0000 0.0000 Mn
0.3333 0.6667 0.6667 Mn
0.6667 0.3333 0.3333 Mn
0.0000 0.0000 0.5000 Fe
0.3333 0.6667 0.1667 Fe
0.6667 0.3333 0.8333 Fe
0.0000 0.0000 0.0983 Se
0.0000 0.0000 0.9017 Se
0.3333 0.6667 0.5683 Se
0.3333 0.6667 0.7650 Se
0.6667 0.3333 0.2350 Se
0.6667 0.3333 0.4317 Se



No. 8
Mn2FeSe PBE optimized geometry; space-group type = Cm, No. 8
1.0
9.1284 0.0000 0.0000
0.0000 3.1735 0.0000
-1.7854 0.0000 3.6932
Mn Fe Se
4 2 2
Direct
0.0000 0.0000 0.0000 Mn
0.2384 0.0000 0.7412 Mn
0.5000 0.5000 0.0000 Mn
0.7384 0.5000 0.7412 Mn
0.2381 0.5000 0.2415 Fe
0.7381 0.0000 0.2415 Fe
0.4773 0.0000 0.4787 Se
0.9773 0.5000 0.4787 Se



No. 9
MnFe2Se2 PBE optimized geometry; offset from the most stable computed form = 0.0 kJ/mol of formula units; space-group type = I4/mmm, No. 139
1.0
4.6541 0.0000 0.0000
0.0000 4.6541 0.0000
0.0000 0.0000 7.6382
Mn Fe Se
2 4 4
Direct
0.0000 0.0000 0.0000 Mn
0.5000 0.5000 0.5000 Mn
0.0000 0.0000 0.3545 Fe
0.0000 0.0000 0.6455 Fe
0.5000 0.5000 0.1455 Fe
0.5000 0.5000 0.8545 Fe
0.0000 0.5000 0.2500 Se
0.0000 0.5000 0.7500 Se
0.5000 0.0000 0.2500 Se
0.5000 0.0000 0.7500 Se



No. 10
Mn2FeSe PBE optimized geometry; space-group type = R3m, No. 160
1.0
2.9700 0.0000 0.0000
-1.4850 2.5721 0.0000
0.0000 0.0000 23.8095
Mn Fe Se
6 3 3
Direct
0.0000 0.0000 0.0000 Mn
0.0000 0.0000 0.2444 Mn
0.3333 0.6667 0.6667 Mn
0.3333 0.6667 0.9110 Mn
0.6667 0.3333 0.3333 Mn
0.6667 0.3333 0.5777 Mn
0.0000 0.0000 0.7506 Fe
0.3333 0.6667 0.4173 Fe
0.6667 0.3333 0.0839 Fe
0.0000 0.0000 0.4901 Se
0.3333 0.6667 0.1568 Se
0.6667 0.3333 0.8234 Se



No. 11
Mn2FeSe PBE optimized geometry; space-group type = Immm, No. 71
1.0
3.2271 0.0000 0.0000
0.0000 4.1313 0.0000
0.0000 0.0000 7.8766
Mn Fe Se
4 2 2
Direct
0.0000 0.0000 0.2501 Mn
0.0000 0.0000 0.7499 Mn
0.5000 0.5000 0.2499 Mn
0.5000 0.5000 0.7501 Mn
0.0000 0.5000 0.0000 Fe
0.5000 0.0000 0.5000 Fe
0.0000 0.5000 0.5000 Se
0.5000 0.0000 0.0000 Se



No. 12
MnFeSe2 PBE optimized geometry; offset from the most stable computed form = 70.3 kJ/mol of formula units; space-group type = Cm, No. 8
1.0
7.6450 0.0000 0.0000
0.0000 3.2488 0.0000
-1.3780 0.0000 6.2585
Mn Fe Se
2 2 4
Direct
0.0000 0.0000 0.0000 Mn
0.5000 0.5000 0.0000 Mn
0.2450 0.5000 0.1734 Fe
0.7450 0.0000 0.1734 Fe
0.2581 0.0000 0.8361 Se
0.4882 0.0000 0.3297 Se
0.7581 0.5000 0.8361 Se
0.9882 0.5000 0.3297 Se



No. 13
Mn3FeSe6 PBE optimized geometry; space-group type = R3, No. 146
1.0
3.1519 1.8197 5.5528
-3.1519 1.8197 5.5528
0.0000 -3.6395 5.5528
Mn Fe Se
3 1 6
Direct
0.0000 0.0000 0.0000 Mn
0.1804 0.1804 0.1804 Mn
0.4987 0.4987 0.4987 Mn
0.6783 0.6783 0.6783 Fe
0.0792 0.4193 0.7668 Se
0.2764 0.9094 0.5894 Se
0.4193 0.7668 0.0792 Se
0.5894 0.2764 0.9094 Se
0.7668 0.0792 0.4193 Se
0.9094 0.5894 0.2764 Se



No. 14
MnFeTcSe2 PBE optimized geometry; space-group type = P4/mmm, No. 123
1.0
4.7885 0.0000 0.0000
0.0000 4.7885 0.0000
0.0000 0.0000 4.5365
Mn Fe Tc Se
1 1 1 2
Direct
0.0000 0.0000 0.0000 Mn
0.5000 0.5000 0.0000 Fe
0.5000 0.5000 0.5000 Tc
0.0000 0.5000 0.5000 Se
0.5000 0.0000 0.5000 Se



No. 15
U2MnFeSe6 PBE optimized geometry; space-group type = C2/m, No. 12
1.0
6.0299 -1.9386 0.0000
6.0299 1.9386 0.0000
-0.0916 0.0000 9.2941
U Mn Fe Se
2 1 1 6
Direct
0.2391 0.2391 0.2438 U
0.7609 0.7609 0.7562 U
0.0000 0.0000 0.5000 Mn
0.0000 0.0000 0.0000 Fe
0.0855 0.0855 0.7523 Se
0.3572 0.3572 0.5552 Se
0.3630 0.3630 0.9480 Se
0.6370 0.6370 0.0520 Se
0.6428 0.6428 0.4448 Se
0.9145 0.9145 0.2477 Se



No. 16
MnFe4Si2 PBE optimized geometry; space-group type = P4_2/mnm, No. 136
1.0
6.6256 0.0000 0.0000
0.0000 6.6256 0.0000
0.0000 0.0000 3.8725
Mn Fe Si
2 8 4
Direct
0.0000 0.0000 0.0000 Mn
0.5000 0.5000 0.5000 Mn
0.1050 0.3579 0.5000 Fe
0.1421 0.6050 0.0000 Fe
0.3579 0.1050 0.5000 Fe
0.3950 0.8579 0.0000 Fe
0.6050 0.1421 0.0000 Fe
0.6421 0.8950 0.5000 Fe
0.8579 0.3950 0.0000 Fe
0.8950 0.6421 0.5000 Fe
0.2109 0.7891 0.5000 Si
0.2891 0.2891 0.0000 Si
0.7109 0.7109 0.0000 Si
0.7891 0.2109 0.5000 Si



No. 17
MnFe14Si PBE optimized geometry; space-group type = Cmmm, No. 65
1.0
2.8262 -3.9989 0.0000
2.8262 3.9989 0.0000
0.0000 0.0000 8.0053
Mn Fe Si
1 14 1
Direct
0.0000 0.0000 0.0000 Mn
0.0000 0.0000 0.5000 Fe
0.0000 0.5000 0.0000 Fe
0.0000 0.5000 0.5000 Fe
0.2494 0.2494 0.2499 Fe
0.2494 0.2494 0.7501 Fe
0.2513 0.7487 0.2482 Fe
0.2513 0.7487 0.7518 Fe
0.5000 0.0000 0.0000 Fe
0.5000 0.0000 0.5000 Fe
0.5000 0.5000 0.5000 Fe
0.7487 0.2513 0.2482 Fe
0.7487 0.2513 0.7518 Fe
0.7506 0.7506 0.2499 Fe
0.7506 0.7506 0.7501 Fe
0.5000 0.5000 0.0000 Si



No. 18
Mn5Fe5Si6 PBE optimized geometry; offset from the most stable computed form = 0.0 kJ/mol of formula units; space-group type = Amm2, No. 38
1.0
4.6927 0.0000 0.0000
0.0000 5.8429 3.4492
0.0000 -5.8429 3.4492
Mn Fe Si
5 5 6
Direct
0.0000 0.0000 0.0000 Mn
0.0000 0.5250 0.7542 Mn
0.0000 0.7542 0.5250 Mn
0.5000 0.7557 0.9902 Mn
0.5000 0.9902 0.7557 Mn
0.2499 0.0832 0.4222 Fe
0.2499 0.4222 0.0832 Fe
0.5000 0.5005 0.5005 Fe
0.7501 0.0832 0.4222 Fe
0.7501 0.4222 0.0832 Fe
0.0000 0.1566 0.7551 Si
0.0000 0.3517 0.3517 Si
0.0000 0.7551 0.1566 Si
0.5000 0.1581 0.1581 Si
0.5000 0.3560 0.7486 Si
0.5000 0.7486 0.3560 Si



No. 19
Mn6Fe2Si PBE optimized geometry; space-group type = Imm2, No. 44
1.0
-1.9119 2.3004 5.9937
1.9119 -2.3004 5.9937
1.9119 2.3004 -5.9937
Mn Fe Si
6 2 1
Direct
0.1767 0.4021 0.7746 Mn
0.2220 0.0000 0.2220 Mn
0.4250 0.1946 0.2304 Mn
0.6275 0.4021 0.2254 Mn
0.7780 0.0000 0.7780 Mn
0.9643 0.1946 0.7696 Mn
0.5970 0.5970 0.0000 Fe
0.7982 0.7982 0.0000 Fe
0.2914 0.7914 0.5000 Si



No. 20
MnFeSi3 PBE optimized geometry; space-group type = Pm-3m, No. 221
1.0
4.3460 0.0000 0.0000
0.0000 4.3460 0.0000
0.0000 0.0000 4.3460
Mn Fe Si
1 1 3
Direct
0.0000 0.0000 0.0000 Mn
0.5000 0.5000 0.5000 Fe
0.0000 0.5000 0.5000 Si
0.5000 0.0000 0.5000 Si
0.5000 0.5000 0.0000 Si



No. 21
MnFeSi4 PBE optimized geometry; offset from the most stable computed form = 467.4 kJ/mol of formula units; space-group type = F-43m, No. 216
1.0
0.0000 3.4391 3.4391
3.4391 0.0000 3.4391
3.4391 3.4391 0.0000
Mn Fe Si
1 1 4
Direct
0.0000 0.0000 0.0000 Mn
0.2500 0.2500 0.2500 Fe
0.1255 0.6248 0.6248 Si
0.6248 0.1255 0.6248 Si
0.6248 0.6248 0.1255 Si
0.6248 0.6248 0.6248 Si



No. 22
Mn8FeSi2 PBE optimized geometry; space-group type = C2/m, No. 12
1.0
5.7779 -1.9639 0.0000
5.7779 1.9639 0.0000
-2.9946 0.0000 5.3078
Mn Fe Si
8 1 2
Direct
0.0458 0.0458 0.2338 Mn
0.1404 0.1404 0.6927 Mn
0.3186 0.3186 0.5902 Mn
0.4084 0.4084 0.0405 Mn
0.5916 0.5916 0.9595 Mn
0.6814 0.6814 0.4098 Mn
0.8596 0.8596 0.3073 Mn
0.9542 0.9542 0.7662 Mn
0.5000 0.5000 0.5000 Fe
0.2256 0.2256 0.1404 Si
0.7744 0.7744 0.8596 Si



No. 23
MnFe2Si2 PBE optimized geometry; space-group type = P4/mbm, No. 127
1.0
6.5431 0.0000 0.0000
0.0000 6.5431 0.0000
0.0000 0.0000 2.5894
Mn Fe Si
2 4 4
Direct
0.0000 0.0000 0.0000 Mn
0.5000 0.5000 0.0000 Mn
0.1550 0.3450 0.5000 Fe
0.3450 0.8450 0.5000 Fe
0.6550 0.1550 0.5000 Fe
0.8450 0.6550 0.5000 Fe
0.1438 0.6438 0.0000 Si
0.3562 0.1438 0.0000 Si
0.6438 0.8562 0.0000 Si
0.8562 0.3562 0.0000 Si



No. 24
Mn2Fe7Si3 PBE optimized geometry; space-group type = Cmmm, No. 65
1.0
1.9776 -9.4117 0.0000
1.9776 9.4117 0.0000
0.0000 0.0000 3.7937
Mn Fe Si
2 7 3
Direct
0.1556 0.8444 0.0000 Mn
0.8444 0.1556 0.0000 Mn
0.0782 0.9218 0.5000 Fe
0.2807 0.7193 0.0000 Fe
0.4253 0.5747 0.0000 Fe
0.5000 0.5000 0.5000 Fe
0.5747 0.4253 0.0000 Fe
0.7193 0.2807 0.0000 Fe
0.9218 0.0782 0.5000 Fe
0.0000 0.0000 0.0000 Si
0.3486 0.6514 0.5000 Si
0.6514 0.3486 0.5000 Si



No. 25
Mn5Fe5Si6 PBE optimized geometry; offset from the most stable computed form = 51.9 kJ/mol of formula units; space-group type = Amm2, No. 38
1.0
4.6360 0.0000 0.0000
0.0000 5.9240 3.3630
0.0000 -5.9240 3.3630
Mn Fe Si
5 5 6
Direct
0.0000 0.0000 0.0000 Mn
0.2501 0.5686 0.8969 Mn
0.2501 0.8969 0.5686 Mn
0.7499 0.5686 0.8969 Mn
0.7499 0.8969 0.5686 Mn
0.0000 0.2267 0.4746 Fe
0.0000 0.4746 0.2267 Fe
0.5000 0.2316 0.9818 Fe
0.5000 0.4674 0.4674 Fe
0.5000 0.9818 0.2316 Fe
0.0000 0.2365 0.8338 Si
0.0000 0.6167 0.6167 Si
0.0000 0.8338 0.2365 Si
0.5000 0.2302 0.6217 Si
0.5000 0.6217 0.2302 Si
0.5000 0.8395 0.8395 Si



| no. | total DFT energy (no corrections) (eV per atom) | formation energy from raw total energies (eV per atom) |
| --- | --- | --- |
| 1 | -5.5860 | 0.56 |
| 2 | -6.3830 | -0.23 |
| 3 | -6.0085 | 0.14 |
| 4 | -6.0068 | 0.14 |
| 5 | -6.4069 | -0.20 |
| 6 | -6.0036 | 0.15 |
| 7 | -5.7725 | 0.38 |
| 8 | -7.3378 | 0.23 |
| 9 | -6.3383 | 0.27 |
| 10 | -7.1881 | 0.38 |
| 11 | -7.3467 | 0.22 |
| 12 | -6.2588 | -0.11 |
| 13 | -6.0398 | -0.35 |
| 14 | -5.6146 | 1.38 |
| 15 | -6.8886 | -0.78 |
| 16 | -7.8773 | -0.18 |
| 17 | -8.3653 | -0.05 |
| 18 | -7.9164 | -0.37 |
| 19 | -8.3834 | 0.21 |
| 20 | -6.2743 | 0.51 |
| 21 | -6.0963 | 0.46 |
| 22 | -8.5710 | -0.15 |
| 23 | -7.6148 | -0.23 |
| 24 | -7.8921 | -0.07 |
| 25 | -7.8828 | -0.34 |